Record 1
The following is a GGA-PBEsol calculation of an optimized crystal structure of BeHS2N, from the Alexandria database.

Output
Energy relative to the lowest polymorph listed for this composition = 0 meV per atom
Magnetization = 0.0 μB/f.u.

Lattice parameters (Å, degrees): 4.434 4.434 3.042 90.00 90.00 90.00
Sites, in units of the cell vectors:
Be 0.000 0.000 0.000
H 0.500 0.500 0.500
S 0.000 0.500 0.000
S 0.500 0.000 0.000
N 0.000 0.000 0.500

=====

Record 2
The following is a GGA-PBEsol calculation of an optimized crystal structure of CaBrCl2, from the Alexandria database.

Output
Energy relative to the lowest polymorph listed for this composition = 0 meV per atom
Formation energy (no corrections) = -1.48 eV per atom
Magnetization = 0.7 μB/f.u.

Lattice parameters (Å, degrees): 10.599 3.869 5.337 90.00 106.10 90.00
Sites, in units of the cell vectors:
Ca 0.000 0.000 0.000
Ca 0.500 0.500 0.000
Br 0.000 0.500 0.500
Br 0.500 0.000 0.500
Cl 0.180 0.500 0.184
Cl 0.320 0.000 0.816
Cl 0.680 0.000 0.184
Cl 0.820 0.500 0.816

=====

Record 3
The following is a GGA-PBEsol calculation of an optimized crystal structure of MnSb2Au, from the Alexandria database.

Output
Energy relative to the lowest polymorph listed for this composition = 199 meV per atom
Formation energy (no corrections) = 0.25 eV per atom
Magnetization = 3.8 μB/f.u.

Lattice parameters (Å, degrees): 4.061 4.061 9.936 90.00 90.00 90.00
Sites, in units of the cell vectors:
Mn 0.000 0.000 0.000
Mn 0.500 0.500 0.500
Sb 0.000 0.000 0.500
Sb 0.000 0.500 0.250
Sb 0.500 0.000 0.750
Sb 0.500 0.500 0.000
Au 0.000 0.500 0.750
Au 0.500 0.000 0.250

=====

Computed ρ, in the same sequence as the records: 2447 3015 10041 kg/m3.